A plane-wave DFT calculation with PBE-GGA was carried out for B2C after structural relaxation.

Cell lengths 6.0037, 6.0037, 5.0535 Å; angles 88.79, 88.79, 26.05 degrees
Last column: nearest neighbours and their distance in Å.
Element x y z (fractional)
B  0.6632  0.6632  0.0079  3 C 1.61-1.62
B  0.7206  0.7206  0.3953  1 C 1.59, 1 B 1.70
B  0.8633  0.8633  0.4507  1 C 1.64, 3 B 1.70-1.84
B  0.0141  0.0141  0.3149  2 C 1.66
B  0.9859  0.9859  0.6851  2 C 1.66
B  0.1367  0.1367  0.5493  1 C 1.64, 3 B 1.70-1.84
B  0.2794  0.2794  0.6047  1 C 1.59, 1 B 1.70
B  0.3368  0.3368  0.9921  3 C 1.61-1.62
C  0.8095  0.8095  0.1529  4 B 1.59-1.64
C  0.1905  0.1905  0.8471  4 B 1.59-1.64
C  0.4661  0.4661  0.8697  1 C 1.55, 3 B 1.62-1.66
C  0.5339  0.5339  0.1303  1 C 1.55, 3 B 1.62-1.66

## Properties
Energy above the lowest structure with this stoichiometry ... 0.124 eV per atom
Space-group type ... C2/m (12)
Calculated density ... 2.79 Mg/m³

=====

A plane-wave DFT calculation with PBE-GGA was carried out for Ac2Sb3Pd4Pb after structural relaxation.

Cell lengths 4.7052, 4.7052, 11.0542 Å; angles 90.00, 90.00, 90.00 degrees
Last column: nearest neighbours and their distance in Å.
Element x y z (fractional)
Ac  0.5000  0.0000  0.2350  8 Pd 3.51-3.61, 6 Sb 3.54-3.76, 2 Pb 3.76
Ac  0.0000  0.5000  0.7650  8 Pd 3.51-3.61, 6 Sb 3.54-3.76, 2 Pb 3.76
Sb  0.0000  0.0000  0.5000  4 Pd 2.80
Sb  0.5000  0.0000  0.8749  5 Pd 2.62-2.73
Sb  0.0000  0.5000  0.1251  5 Pd 2.62-2.73
Pd  0.5000  0.5000  0.0000  4 Sb 2.73
Pd  0.0000  0.0000  0.0000  4 Sb 2.73
Pd  0.5000  0.0000  0.6375  3 Sb 2.62-2.80, 2 Pb 2.80
Pd  0.0000  0.5000  0.3625  3 Sb 2.62-2.80, 2 Pb 2.80
Pb  0.5000  0.5000  0.5000  4 Pd 2.80

## Properties
Formation energy from raw total energies ... -834 meV per atom
Space-group type ... P-4m2 (115)
Calculated density ... 9.85 Mg/m³

=====

Table of D(E_F) (states/eV/atom), in record order: 0.13, 0.69